Density functional theory data (PBE with a Hubbard U) for a geometry-optimized WO2F structure.

The energy above the most stable polymorph in this dataset is 10 meV/atom. The calculation puts the final energy at -6.93 eV per atom. The symmetry is P-1.

a b c (Å): 5.634 5.515 13.817
angles (deg): 90.82 92.97 61.36
Site moments in Bohr magnetons follow the coordinates.
Fractional coordinates of all 24 atoms:
O: 0.835 0.315 0.415  -0.05
O: 0.500 0.000 0.250  0.08
O: 0.854 0.296 0.915  -0.04
O: 0.821 0.818 0.421  -0.05
O: 0.179 0.182 0.079  -0.05
O: 0.184 0.180 0.580  -0.03
O: 0.500 0.500 0.250  -0.04
O: 0.816 0.820 0.920  -0.03
O: 0.500 0.500 0.750  -0.04
O: 0.165 0.685 0.085  -0.05
O: 0.146 0.704 0.585  -0.04
O: 0.000 0.500 0.750  0.08
W: 0.663 0.672 0.334  1.03
W: 0.990 0.014 0.500  1.08
W: 0.300 0.369 0.666  0.99
W: 0.337 0.328 0.166  1.03
W: 0.700 0.631 0.834  0.99
W: 0.010 0.986 0.000  1.08
F: 0.500 0.000 0.750  0.02
F: 0.677 0.181 0.086  0.02
F: 0.661 0.204 0.584  0.03
F: 0.000 0.500 0.250  0.02
F: 0.339 0.796 0.916  0.03
F: 0.323 0.819 0.414  0.02